[1]
A geometry-optimized NdEuCuNi structure, computed with PBE.

CIF file:
```
data_NdEuCuNi
_chemical_formula_sum 'Nd1 Eu1 Cu1 Ni1'
_cell_length_a 5.0073
_cell_length_b 5.0073
_cell_length_c 5.0073
_cell_angle_alpha 60.00
_cell_angle_beta 60.00
_cell_angle_gamma 60.00
_space_group_name_H-M_alt 'P 1'
_space_group_IT_number 1
loop_
_space_group_symop_operation_xyz
'x,y,z'
loop_
_atom_site_label
_atom_site_type_symbol
_atom_site_fract_x
_atom_site_fract_y
_atom_site_fract_z
_atom_site_occupancy
Nd1 Nd 0.0000 0.0000 0.0000 1
Eu1 Eu 0.5000 0.5000 0.5000 1
Ni1 Ni 0.7500 0.7500 0.7500 1
Cu1 Cu 0.2500 0.2500 0.2500 1
```

total moment = 7.0 μB per formula unit
calculated formation energy = -118 meV/atom
calculated total energy = -25.39 eV per cell



[2]
A geometry-optimized BaRuO5 structure, computed with PBE.

CIF file:
```
data_BaRuO5
_chemical_formula_sum 'Ba6 Ru6 O30'
_cell_length_a 10.4854
_cell_length_b 10.4854
_cell_length_c 10.4854
_cell_angle_alpha 55.75
_cell_angle_beta 55.75
_cell_angle_gamma 55.75
_space_group_name_H-M_alt 'P 1'
_space_group_IT_number 1
loop_
_space_group_symop_operation_xyz
'x,y,z'
loop_
_atom_site_label
_atom_site_type_symbol
_atom_site_fract_x
_atom_site_fract_y
_atom_site_fract_z
_atom_site_occupancy
O1 O 0.2167 0.5351 0.5009 1
O2 O 0.9649 0.2833 0.9991 1
O3 O 0.5009 0.2167 0.5351 1
O4 O 0.8669 0.3142 0.7472 1
O5 O 0.7167 0.0009 0.0351 1
O6 O 0.7472 0.8669 0.3142 1
O7 O 0.0009 0.0351 0.7167 1
O8 O 0.0790 0.2500 0.4210 1
O9 O 0.4649 0.4991 0.7833 1
O10 O 0.7528 0.1858 0.6331 1
O11 O 0.7500 0.5790 0.9210 1
O12 O 0.7833 0.4649 0.4991 1
O13 O 0.2500 0.4210 0.0790 1
O14 O 0.6331 0.7528 0.1858 1
O15 O 0.9210 0.7500 0.5790 1
O16 O 0.2833 0.9991 0.9649 1
O17 O 0.1331 0.6858 0.2528 1
O18 O 0.0351 0.7167 0.0009 1
O19 O 0.8142 0.3669 0.2472 1
O20 O 0.6858 0.2528 0.1331 1
O21 O 0.2528 0.1331 0.6858 1
O22 O 0.5790 0.9210 0.7500 1
O23 O 0.4210 0.0790 0.2500 1
O24 O 0.5351 0.5009 0.2167 1
O25 O 0.3142 0.7472 0.8669 1
O26 O 0.2472 0.8142 0.3669 1
O27 O 0.1858 0.6331 0.7528 1
O28 O 0.4991 0.7833 0.4649 1
O29 O 0.3669 0.2472 0.8142 1
O30 O 0.9991 0.9649 0.2833 1
Ba1 Ba 0.3372 0.3372 0.3372 1
Ba2 Ba 0.8372 0.8372 0.8372 1
Ba3 Ba 0.5000 0.5000 0.5000 1
Ba4 Ba 0.0000 0.0000 0.0000 1
Ba5 Ba 0.6628 0.6628 0.6628 1
Ba6 Ba 0.1628 0.1628 0.1628 1
Ru1 Ru 0.1035 0.7500 0.3965 1
Ru2 Ru 0.2500 0.6035 0.8965 1
Ru3 Ru 0.8965 0.2500 0.6035 1
Ru4 Ru 0.7500 0.3965 0.1035 1
Ru5 Ru 0.6035 0.8965 0.2500 1
Ru6 Ru 0.3965 0.1035 0.7500 1
```

formation energy without anion corrections = -1286.9 meV/atom
total moment = 0.0 μB per formula unit
energy relative to the lowest polymorph listed for this composition = 0.000 eV per atom
calculated total energy = -269.99 eV per cell



[3]
A geometry-optimized V2MoCl structure, computed with PBE.

CIF file:
```
data_V2MoCl
_chemical_formula_sum 'V2 Mo1 Cl1'
_cell_length_a 4.3779
_cell_length_b 4.3779
_cell_length_c 4.3779
_cell_angle_alpha 60.00
_cell_angle_beta 60.00
_cell_angle_gamma 60.00
_space_group_name_H-M_alt 'P 1'
_space_group_IT_number 1
loop_
_space_group_symop_operation_xyz
'x,y,z'
loop_
_atom_site_label
_atom_site_type_symbol
_atom_site_fract_x
_atom_site_fract_y
_atom_site_fract_z
_atom_site_occupancy
V1 V 0.7500 0.7500 0.7500 1
V2 V 0.2500 0.2500 0.2500 1
Mo1 Mo 0.5000 0.5000 0.5000 1
Cl1 Cl 0.0000 0.0000 0.0000 1
```

formation energy without anion corrections = 763.1 meV/atom
total moment = 1.7 μB per formula unit
energy relative to the lowest polymorph listed for this composition = 0.122 eV per atom
calculated total energy = -27.86 eV per cell